Here is a relaxed structure of SiNiPd from the Alexandria database. Energies are from PBE-GGA.

ΔE_f (raw) = -0.47 eV per atom
space-group type = No. 216
spin magnetization = 0.000 μB/f.u.
raw total energy = -5.9335 eV per atom
crystal system = cubic

Cell: 3.9208 3.9208 3.9208 Å, 60.00 60.00 60.00°
Element x y z (fractional)
Ni 0.5000 0.5000 0.5000
Si 0.2500 0.2500 0.2500
Pd 0.0000 0.0000 0.0000

***

Here is a relaxed structure of CaSiP2Cl from the Alexandria database. Energies are from PBE-GGA.

ΔE_f (raw) = 0.74 eV per atom
space-group type = No. 123
spin magnetization = 1.048 μB/f.u.
raw total energy = -3.2788 eV per atom
crystal system = tetragonal

Cell: 5.3454 5.3454 5.0115 Å, 90.00 90.00 90.00°
Each line ends with the local moment (μB).
Element x y z (fractional)
P 0.0000 0.5000 0.0000  0.24
P 0.5000 0.0000 0.0000  0.24
Ca 0.0000 0.0000 0.0000  0.01
Si 0.5000 0.5000 0.5000  -0.05
Cl 0.0000 0.0000 0.5000  0.07

***

Here is a relaxed structure of Ba2MgHg from the Alexandria database. Energies are from PBE-GGA.

space-group type = No. 216
spin magnetization = 0.000 μB/f.u.
raw total energy = -1.5748 eV per atom
calculated formation energy = -139 meV per atom
crystal system = cubic

Cell: 5.7895 5.7895 5.7895 Å, 60.00 60.00 60.00°
Element x y z (fractional)
Ba 0.0000 0.0000 0.0000
Ba 0.2500 0.2500 0.2500
Hg 0.5000 0.5000 0.5000
Mg 0.7500 0.7500 0.7500

***

Here is a relaxed structure of U2TiRh9 from the Alexandria database. Energies are from PBE-GGA.

space-group type = No. 123
spin magnetization = 0.000 μB/f.u.
raw total energy = -8.7029 eV per atom
calculated formation energy = -650 meV per atom
crystal system = tetragonal

Cell: 3.9715 3.9715 11.8683 Å, 90.00 90.00 90.00°
Element x y z (fractional)
U 0.0000 0.0000 0.3278
U 0.0000 0.0000 0.6722
Ti 0.0000 0.0000 0.0000
Rh 0.5000 0.5000 0.0000
Rh 0.5000 0.5000 0.3296
Rh 0.5000 0.5000 0.6704
Rh 0.5000 0.0000 0.1598
Rh 0.5000 0.0000 0.5000
Rh 0.5000 0.0000 0.8402
Rh 0.0000 0.5000 0.1598
Rh 0.0000 0.5000 0.5000
Rh 0.0000 0.5000 0.8402

***

Here is a relaxed structure of Nd2AlTl from the Alexandria database. Energies are from PBE-GGA.

space-group type = No. 166
spin magnetization = 0.000 μB/f.u.
raw total energy = -4.1064 eV per atom
calculated formation energy = -195 meV per atom
crystal system = trigonal

Cell: 3.8272 3.8272 9.8010 Å, 78.74 78.74 60.00°
Element x y z (fractional)
Tl 0.5000 0.5000 0.5000
Nd 0.2553 0.2553 0.2342
Nd 0.7447 0.7447 0.7658
Al 0.0000 0.0000 0.0000

***

Here is a relaxed structure of BaMgPb3 from the Alexandria database. Energies are from PBE-GGA.

space-group type = No. 221
spin magnetization = 0.000 μB/f.u.
raw total energy = -2.0491 eV per atom
calculated formation energy = 879 meV per atom
crystal system = cubic

Cell: 6.3532 6.3532 6.3532 Å, 90.00 90.00 90.00°
Element x y z (fractional)
Pb 0.0000 0.5000 0.0000
Pb 0.0000 0.0000 0.5000
Pb 0.5000 0.0000 0.0000
Mg 0.5000 0.5000 0.5000
Ba 0.0000 0.0000 0.0000

***

Here is a relaxed structure of K2CuGe4Pt3 from the Alexandria database. Energies are from PBE-GGA.

space-group type = No. 115
spin magnetization = 0.000 μB/f.u.
raw total energy = -4.6226 eV per atom
calculated formation energy = -334 meV per atom
crystal system = tetragonal

Cell: 4.5010 4.5010 10.0518 Å, 90.00 90.00 90.00°
Element x y z (fractional)
K 0.5000 0.0000 0.2521
K 0.0000 0.5000 0.7479
Cu 0.5000 0.5000 0.5000
Ge 0.5000 0.5000 0.0000
Ge 0.0000 0.0000 0.0000
Ge 0.5000 0.0000 0.6185
Ge 0.0000 0.5000 0.3815
Pt 0.0000 0.0000 0.5000
Pt 0.5000 0.0000 0.8746
Pt 0.0000 0.5000 0.1254

***

Here is a relaxed structure of LaIn from the Alexandria database. Energies are from PBE-GGA.

space-group type = No. 87
spin magnetization = 0.000 μB/f.u.
raw total energy = -3.9264 eV per atom
calculated formation energy = -93 meV per atom
crystal system = tetragonal

Cell: 12.0878 12.0878 3.4712 Å, 90.00 90.00 90.00°
Element x y z (fractional)
La 0.3931 0.3279 0.0000
La 0.6069 0.6721 0.0000
La 0.6721 0.3931 0.0000
La 0.3279 0.6069 0.0000
La 0.8931 0.8279 0.5000
La 0.1069 0.1721 0.5000
La 0.1721 0.8931 0.5000
La 0.8279 0.1069 0.5000
In 0.4135 0.8706 0.0000
In 0.5865 0.1294 0.0000
In 0.1294 0.4135 0.0000
In 0.8706 0.5865 0.0000
In 0.9135 0.3706 0.5000
In 0.0865 0.6294 0.5000
In 0.6294 0.9135 0.5000
In 0.3706 0.0865 0.5000